No. 1
AlAsN after structural relaxation. Source: Alexandria via LeMat-Bulk, functional PBE.

Unit cell a=5.9068 b=3.0898 c=3.0898 alpha=60.90 beta=90.00 gamma=90.00
Element x y z (fractional)
Al 0.0000 0.0000 0.0000
As 0.5000 0.1110 0.1110
N 0.0000 0.6628 0.6628

**Electronic total energy**: -5.817 eV/atom
**ΔE_f (raw)**: -244 meV per atom
**Space-group type**: Amm2 (38)
**Total magnetization**: 0.00 μB per formula unit

No. 2
ZnIrRu2 after structural relaxation. Source: Alexandria via LeMat-Bulk, functional PBE.

Unit cell a=5.1112 b=5.1112 c=5.1112 alpha=146.92 beta=128.87 gamma=62.26
Element x y z (fractional)
Zn 0.0000 0.0000 0.0000
Ir 0.5000 0.5000 0.0000
Ru 0.2365 0.7365 0.5000
Ru 0.7635 0.2635 0.5000

**Electronic total energy**: -6.991 eV/atom
**Space-group type**: Immm (71)
**Total magnetization**: 0.00 μB per formula unit
**Calculated formation energy**: 0.181 eV/atom